[1]
Computed, not measured: an optimized crystal structure of ScCrCd2 at the PBE-GGA level of DFT.

Values from the calculation:
space group: Fm-3m, No. 225
calculated formation energy: 0.04 eV/atom
V: 80 Å³/cell

Lattice parameters (Å, degrees): 4.8423 4.8423 4.8423 60.00 60.00 60.00
With the nearest neighbours (Å) after each atom.
Element x y z (fractional)
Sc (0.0000, 0.0000, 0.0000)  8 Cd 2.97
Cr (0.5000, 0.5000, 0.5000)  8 Cd 2.97
Cd (0.2500, 0.2500, 0.2500)  4 Cr 2.97, 4 Sc 2.97
Cd (0.7500, 0.7500, 0.7500)  4 Sc 2.97, 4 Cr 2.97

[2]
Computed, not measured: an optimized crystal structure of BaOsAu at the PBE-GGA level of DFT.

Values from the calculation:
space group: P-6m2, No. 187
calculated formation energy: 0.43 eV/atom
V: 83 Å³/cell

Lattice parameters (Å, degrees): 4.4614 4.4614 4.8407 90.00 90.00 120.00
With the nearest neighbours (Å) after each atom.
Element x y z (fractional)
Ba (0.0000, 0.0000, 0.0000)  6 Os 3.53, 6 Au 3.53
Os (0.6667, 0.3333, 0.5000)  3 Au 2.58
Au (0.3333, 0.6667, 0.5000)  3 Os 2.58

Number 1: spin magnetization 4.07 μB/cell. Number 2: spin magnetization 1.07 μB/cell.